A plane-wave DFT calculation with GGA-PBE was carried out for an optimized crystal structure of YGe4Ru.

Output
ΔE_f in eV per formula unit: -1.81
DOS(E_F) in states/eV/f.u.: 3.68

abc: 6.3064 6.8333 6.3746
angles: 90.77 119.66 90.00
With the nearest neighbours (Å) after each atom.
Fractional positions:
Ge (0.4030, 0.9099, 0.0934)  2 Ge 2.40-2.43, 1 Ru 2.42
Ru (0.5000, 0.0000, 0.5000)  6 Ge 2.42-2.55
Ge (0.8663, 0.8527, 0.4954)  2 Ru 2.53-2.55, 2 Ge 2.61-2.81
Ru (0.0000, 0.5000, 0.5000)  6 Ge 2.42-2.55
Ge (0.3710, 0.6473, 0.5049)  2 Ru 2.53-2.55, 2 Ge 2.61-2.81
Ge (0.6290, 0.3527, 0.4951)  2 Ru 2.53-2.55, 2 Ge 2.61-2.81
Ge (0.3095, 0.5900, 0.9068)  2 Ge 2.40-2.43, 1 Ru 2.42
Ge (0.6905, 0.4100, 0.0932)  2 Ge 2.40-2.43, 1 Ru 2.42
Ge (0.1337, 0.1473, 0.5046)  2 Ru 2.53-2.55, 2 Ge 2.61-2.81
Ge (0.5970, 0.0901, 0.9066)  2 Ge 2.40-2.43, 1 Ru 2.42
Y (0.9064, 0.7501, 0.0003)  6 Ge 2.91-3.19
Y (0.0936, 0.2499, 0.9997)  6 Ge 2.91-3.19